First-principles (PBE-GGA) data for CsAs3S after structural relaxation, as listed in the Alexandria database.

Calculated values
**DFT total energy**: -3.3243 eV/atom
**Raw formation energy**: 0.46 eV/atom

Cell: 5.1244 5.1244 5.1244 Å, 90.00 90.00 90.00°
Fractional coordinates of all 5 atoms:
Cs: 0.0000 0.0000 0.0000
As: 0.0000 0.5000 0.5000
As: 0.5000 0.0000 0.5000
As: 0.5000 0.5000 0.0000
S: 0.5000 0.5000 0.5000

=====

First-principles (PBE-GGA) data for SrLiHg after structural relaxation, as listed in the Alexandria database.

Calculated values
**DFT total energy**: -1.6084 eV/atom
**Energy of formation**: -309 meV per atom

Cell: 3.9310 3.9310 10.8768 Å, 90.00 90.00 90.00°
Fractional coordinates of all 6 atoms:
Sr: 0.0000 0.0000 0.0000
Sr: 0.5000 0.5000 0.5000
Li: 0.0000 0.0000 0.2934
Li: 0.5000 0.5000 0.7934
Hg: 0.0000 0.0000 0.6823
Hg: 0.5000 0.5000 0.1823